The following is a DFT calculation (GGA+U) of CaVF3 after structural relaxation.

Calculated values
density = 2.8 Mg/m³
distance to the lowest polymorph of the same formula = 189 meV per atom
DFT total energy = -5.236 eV per atom

```
data_CaVF3
_cell_length_a 4.421
_cell_length_b 4.421
_cell_length_c 4.421
_cell_angle_alpha 90.00
_cell_angle_beta 90.00
_cell_angle_gamma 90.00
_symmetry_space_group_name_H-M 'P m -3 m'
_symmetry_Int_Tables_number 221
_symmetry_space_group_name_Hall '-P 4 2 3'
loop_
_atom_site_label
_atom_site_type_symbol
_atom_site_fract_x
_atom_site_fract_y
_atom_site_fract_z
Ca1 Ca 0.000 0.000 0.000
V1 V 0.500 0.500 0.500
F1 F 0.000 0.000 0.500
```